The following is a DFT calculation (PBE-GGA) of HgAsSeBr after structural relaxation.

total DFT energy (no corrections) = -10.74 eV for the cell shown
SG = Cm, No. 8
V = 119.8 Å³/cell
crystal system = monoclinic

a = 3.8831 Å, b = 3.8831 Å, c = 8.1999 Å
α = 100.03°, β = 100.03°, γ = 86.81°
Sites, in units of the cell vectors:
Hg  0.2217  0.2217  0.4688
As  0.2103  0.2103  0.1514
Se  0.6134  0.6134  0.0972
Br  0.9118  0.9118  0.6665


The following is a DFT calculation (PBE-GGA) of Hg3AsSe4Br after structural relaxation.

total DFT energy (no corrections) = -46.80 eV for the cell shown
SG = P6_3mc, No. 186
V = 548.4 Å³/cell
crystal system = hexagonal

a = 7.8747 Å, b = 7.8747 Å, c = 10.2110 Å
α = 90.00°, β = 90.00°, γ = 120.00°
Sites, in units of the cell vectors:
As  0.0000  0.0000  0.2332
As  0.0000  0.0000  0.7332
Br  0.3333  0.6667  0.0404
Br  0.6667  0.3333  0.5404
Hg  0.9980  0.4990  0.2391
Hg  0.5010  0.4990  0.2391
Hg  0.5010  0.0020  0.2391
Hg  0.0020  0.5010  0.7391
Hg  0.4990  0.5010  0.7391
Hg  0.4990  0.9980  0.7391
Se  0.1512  0.8488  0.3615
Se  0.1512  0.3024  0.3615
Se  0.6976  0.8488  0.3615
Se  0.8488  0.1512  0.8615
Se  0.8488  0.6976  0.8615
Se  0.3024  0.1512  0.8615
Se  0.6667  0.3333  0.1089
Se  0.3333  0.6667  0.6089


The following is a DFT calculation (PBE-GGA) of SiHgAs2Br after structural relaxation.

energy above the lowest structure with this stoichiometry = 0 meV per atom
total DFT energy (no corrections) = -14.30 eV for the cell shown
SG = P4/mmm, No. 123
V = 124.5 Å³/cell
crystal system = tetragonal

a = 4.8905 Å, b = 4.8905 Å, c = 5.2067 Å
α = 90.00°, β = 90.00°, γ = 90.00°
Last column: magnetic moment on the atom in μB.
Sites, in units of the cell vectors:
As  0.0000  0.5000  0.0000  0.17
As  0.5000  0.0000  0.0000  0.17
Si  0.0000  0.0000  0.0000  -0.01
Hg  0.5000  0.5000  0.5000  0.01
Br  0.0000  0.0000  0.5000  0.07


The following is a DFT calculation (PBE-GGA) of SiHgAs2Br after structural relaxation.

energy above the lowest structure with this stoichiometry = 646 meV per atom
total DFT energy (no corrections) = -11.07 eV for the cell shown
SG = P4/mmm, No. 123
V = 150.9 Å³/cell
crystal system = tetragonal

a = 5.1517 Å, b = 5.1517 Å, c = 5.6869 Å
α = 90.00°, β = 90.00°, γ = 90.00°
Last column: magnetic moment on the atom in μB.
Sites, in units of the cell vectors:
As  0.0000  0.5000  0.0000  0.25
As  0.5000  0.0000  0.0000  0.25
Si  0.5000  0.5000  0.5000  -0.08
Hg  0.0000  0.0000  0.0000  0.01
Br  0.0000  0.0000  0.5000  0.11


The following is a DFT calculation (PBE-GGA) of SnHg6As4Br6 after structural relaxation.

total DFT energy (no corrections) = -161.33 eV for the cell shown
SG = P2_13, No. 198
V = 2065.3 Å³/cell
crystal system = cubic

a = 12.7349 Å, b = 12.7349 Å, c = 12.7349 Å
α = 90.00°, β = 90.00°, γ = 90.00°
Sites, in units of the cell vectors:
Sn  0.7357  0.2643  0.7643
Sn  0.2643  0.7643  0.7357
Sn  0.7643  0.7357  0.2643
Sn  0.2357  0.2357  0.2357
Hg  0.5270  0.7664  0.5345
Hg  0.2336  0.0345  0.9730
Hg  0.4707  0.5215  0.2646
Hg  0.9655  0.4730  0.2664
Hg  0.0215  0.2354  0.5293
Hg  0.0270  0.7336  0.4655
Hg  0.0293  0.4785  0.7646
Hg  0.5345  0.5270  0.7664
Hg  0.7646  0.0293  0.4785
Hg  0.5215  0.2646  0.4707
Hg  0.7354  0.9707  0.9785
Hg  0.4785  0.7646  0.0293
Hg  0.2646  0.4707  0.5215
Hg  0.0345  0.9730  0.2336
Hg  0.2354  0.5293  0.0215
Hg  0.5293  0.0215  0.2354
Hg  0.7664  0.5345  0.5270
Hg  0.4655  0.0270  0.7336
Hg  0.9707  0.9785  0.7354
Hg  0.9730  0.2336  0.0345
Hg  0.7336  0.4655  0.0270
Hg  0.4730  0.2664  0.9655
Hg  0.9785  0.7354  0.9707
Hg  0.2664  0.9655  0.4730
As  0.0699  0.9301  0.4301
As  0.9292  0.9292  0.9292
As  0.5699  0.5699  0.5699
As  0.4591  0.9591  0.5409
As  0.4584  0.4584  0.4584
As  0.9301  0.4301  0.0699
As  0.9584  0.0416  0.5416
As  0.0409  0.0409  0.0409
As  0.5708  0.0708  0.4292
As  0.4292  0.5708  0.0708
As  0.0708  0.4292  0.5708
As  0.0416  0.5416  0.9584
As  0.5416  0.9584  0.0416
As  0.9591  0.5409  0.4591
As  0.5409  0.4591  0.9591
As  0.4301  0.0699  0.9301
Br  0.7099  0.0419  0.7323
Br  0.7901  0.9581  0.2323
Br  0.4581  0.2677  0.2099
Br  0.5419  0.7677  0.2901
Br  0.2942  0.9920  0.2276
Br  0.2099  0.4581  0.2677
Br  0.0080  0.7276  0.2058
Br  0.4920  0.2724  0.7058
Br  0.9920  0.2276  0.2942
Br  0.2323  0.7901  0.9581
Br  0.0419  0.7323  0.7099
Br  0.2724  0.7058  0.4920
Br  0.2677  0.2099  0.4581
Br  0.7677  0.2901  0.5419
Br  0.7724  0.7942  0.5080
Br  0.5080  0.7724  0.7942
Br  0.7276  0.2058  0.0080
Br  0.7942  0.5080  0.7724
Br  0.9581  0.2323  0.7901
Br  0.2901  0.5419  0.7677
Br  0.7323  0.7099  0.0419
Br  0.2276  0.2942  0.9920
Br  0.2058  0.0080  0.7276
Br  0.7058  0.4920  0.2724


The following is a DFT calculation (PBE-GGA) of SrHgAsBr2 after structural relaxation.

energy above the lowest structure with this stoichiometry = 58 meV per atom
total DFT energy (no corrections) = -12.18 eV for the cell shown
SG = P4/mmm, No. 123
V = 170.2 Å³/cell
crystal system = tetragonal

a = 5.7071 Å, b = 5.7071 Å, c = 5.2261 Å
α = 90.00°, β = 90.00°, γ = 90.00°
Last column: magnetic moment on the atom in μB.
Sites, in units of the cell vectors:
Sr  0.5000  0.5000  0.5000  0.01
As  0.0000  0.0000  0.5000  0.36
Hg  0.0000  0.0000  0.0000  0.01
Br  0.0000  0.5000  0.0000  0.05
Br  0.5000  0.0000  0.0000  0.05


What is the total DFT energy (no corrections) in the fifth record?
-161.33 eV for the cell shown